Below is YBe17Cr after structural relaxation, with properties calculated at the PBE level.

Lattice parameters (Å, degrees): 5.657 5.657 5.657 83.08 83.08 83.08
Last column: magnetic moment on the atom in μB.
Atoms (fractional coordinates):
1 Y 0.659 0.659 0.659  0.00
2 Be 0.287 0.006 0.706  -0.01
3 Be 0.706 0.287 0.006  -0.01
4 Be 0.006 0.706 0.287  -0.01
5 Be 0.287 0.706 0.006  -0.01
6 Be 0.006 0.287 0.706  -0.01
7 Be 0.706 0.006 0.287  -0.01
8 Be 0.340 0.854 0.340  -0.03
9 Be 0.340 0.340 0.854  -0.03
10 Be 0.854 0.340 0.340  -0.03
11 Be 0.652 0.163 0.652  0.00
12 Be 0.652 0.652 0.163  0.00
13 Be 0.163 0.652 0.652  0.00
14 Be 0.000 0.502 0.000  0.00
15 Be 0.000 0.000 0.502  0.00
16 Be 0.502 0.000 0.000  0.00
17 Be 0.908 0.908 0.908  -0.01
18 Be 0.102 0.102 0.102  -0.03
19 Cr 0.330 0.330 0.330  2.29

Values from the calculation:
* E_form: -0.065 eV/atom
* SG: R3m
* final energy: -4.245 eV/atom

Below is Y4BeCr after structural relaxation, with properties calculated at the PBE level.

Lattice parameters (Å, degrees): 6.189 6.189 6.189 60.00 60.00 60.00
Last column: magnetic moment on the atom in μB.
Atoms (fractional coordinates):
1 Y 0.875 0.375 0.375  -0.03
2 Y 0.375 0.375 0.875  -0.03
3 Y 0.375 0.875 0.375  -0.03
4 Y 0.375 0.375 0.375  -0.03
5 Be 0.750 0.750 0.750  -0.04
6 Cr 0.000 0.000 0.000  3.84

Values from the calculation:
* E_form: 0.950 eV/atom
* SG: F-43m
* final energy: -5.584 eV/atom

Below is YBeCr2 after structural relaxation, with properties calculated at the PBE level.

Lattice parameters (Å, degrees): 7.901 7.901 7.901 23.15 23.15 23.15
Last column: magnetic moment on the atom in μB.
Atoms (fractional coordinates):
1 Y 0.250 0.250 0.250  -0.19
2 Cr 0.021 0.021 0.021  2.64
3 Cr 0.479 0.479 0.479  2.64
4 Be 0.750 0.750 0.750  -0.04

Values from the calculation:
* E_form: 0.793 eV/atom
* SG: R-3m
* final energy: -6.566 eV/atom

Below is YBe2Cr after structural relaxation, with properties calculated at the PBE level.

Lattice parameters (Å, degrees): 3.635 3.158 5.572 73.55 90.00 90.00
Last column: magnetic moment on the atom in μB.
Atoms (fractional coordinates):
1 Y 0.500 0.792 0.790  -0.02
2 Cr 0.000 0.494 0.388  2.53
3 Be 0.000 0.157 0.062  -0.04
4 Be 0.500 0.057 0.261  -0.07

Values from the calculation:
* E_form: 0.244 eV/atom
* SG: Amm2
* final energy: -5.641 eV/atom

Below is YBe2Cr after structural relaxation, with properties calculated at the PBE level.

Lattice parameters (Å, degrees): 5.513 5.513 5.513 40.35 40.35 40.35
Last column: magnetic moment on the atom in μB.
Atoms (fractional coordinates):
1 Y 0.745 0.745 0.745  -0.07
2 Cr 0.549 0.549 0.549  2.48
3 Be 0.940 0.940 0.940  -0.07
4 Be 0.265 0.265 0.265  -0.07

Values from the calculation:
* E_form: 0.162 eV/atom
* SG: R3m
* final energy: -5.723 eV/atom

Below is YBeCr2 after structural relaxation, with properties calculated at the PBE level.

Lattice parameters (Å, degrees): 3.155 3.155 6.150 90.00 90.00 90.00
Atoms (fractional coordinates):
1 Y 0.500 0.500 0.250
2 Cr 0.000 0.000 0.905
3 Cr 0.000 0.000 0.595
4 Be 0.500 0.500 0.750

Values from the calculation:
* E_form: 0.275 eV/atom
* SG: P4/mmm
* final energy: -7.084 eV/atom

Below is YBeCr2 after structural relaxation, with properties calculated at the PBE level.

Lattice parameters (Å, degrees): 4.298 4.298 5.187 74.09 74.09 44.98
Atoms (fractional coordinates):
1 Y 0.750 0.750 0.750
2 Cr 0.963 0.963 0.137
3 Cr 0.537 0.537 0.363
4 Be 0.250 0.250 0.250

Values from the calculation:
* E_form: 0.379 eV/atom
* SG: C2/m
* final energy: -6.981 eV/atom

Below is YBeCr2 after structural relaxation, with properties calculated at the PBE level.

Lattice parameters (Å, degrees): 4.097 3.129 5.133 77.93 90.00 90.00
Atoms (fractional coordinates):
1 Y 0.500 0.250 0.250
2 Cr 0.000 0.932 0.902
3 Cr 0.000 0.568 0.598
4 Be 0.500 0.750 0.750

Values from the calculation:
* E_form: 0.475 eV/atom
* SG: P2/m
* final energy: -6.885 eV/atom

Below is Y4BeCr2 after structural relaxation, with properties calculated at the PBE level.

Lattice parameters (Å, degrees): 5.132 5.132 8.210 71.79 71.79 90.00
Last column: magnetic moment on the atom in μB.
Atoms (fractional coordinates):
1 Y 0.816 0.816 0.368  0.06
2 Y 0.184 0.184 0.632  0.06
3 Y 0.000 0.500 0.000  0.06
4 Y 0.500 0.000 0.000  0.06
5 Cr 0.616 0.616 0.768  3.74
6 Cr 0.384 0.384 0.232  3.74
7 Be 0.000 0.000 0.000  -0.06

Values from the calculation:
* E_form: 0.636 eV/atom
* SG: I4/mmm
* final energy: -6.340 eV/atom

Below is YBeCr2 after structural relaxation, with properties calculated at the PBE level.

Lattice parameters (Å, degrees): 5.077 5.077 5.077 136.78 136.78 62.77
Last column: magnetic moment on the atom in μB.
Atoms (fractional coordinates):
1 Y 0.250 0.750 0.500  -0.03
2 Cr 0.000 0.000 0.000  0.43
3 Cr 0.500 0.500 0.000  0.43
4 Be 0.750 0.250 0.500  -0.03

Values from the calculation:
* E_form: 0.735 eV/atom
* SG: I4/mmm
* final energy: -6.624 eV/atom

Below is YBeCr2 after structural relaxation, with properties calculated at the PBE level.

Lattice parameters (Å, degrees): 4.001 4.001 5.445 68.45 68.45 60.00
Last column: magnetic moment on the atom in μB.
Atoms (fractional coordinates):
1 Y 0.497 0.497 0.507  -0.03
2 Cr 0.005 0.005 0.986  1.84
3 Cr 0.694 0.694 0.918  -1.47
4 Be 0.304 0.304 0.089  0.01

Values from the calculation:
* E_form: 0.217 eV/atom
* SG: R3m
* final energy: -7.142 eV/atom

Below is YBe2Cr after structural relaxation, with properties calculated at the PBE level.

Lattice parameters (Å, degrees): 3.946 3.946 5.364 68.42 68.42 59.96
Last column: magnetic moment on the atom in μB.
Atoms (fractional coordinates):
1 Y 0.250 0.250 0.250  0.00
2 Cr 0.750 0.750 0.750  2.92
3 Be 0.055 0.055 0.835  -0.06
4 Be 0.445 0.445 0.665  -0.06

Values from the calculation:
* E_form: 0.134 eV/atom
* SG: R-3m
* final energy: -5.751 eV/atom

Below is YBe2Cr after structural relaxation, with properties calculated at the PBE level.

Lattice parameters (Å, degrees): 4.445 4.445 4.445 60.00 60.00 60.00
Last column: magnetic moment on the atom in μB.
Atoms (fractional coordinates):
1 Y 0.500 0.500 0.500  0.00
2 Cr 0.000 0.000 0.000  3.29
3 Be 0.250 0.250 0.250  -0.04
4 Be 0.750 0.750 0.750  -0.04

Values from the calculation:
* E_form: 0.274 eV/atom
* SG: Fm-3m
* final energy: -5.611 eV/atom

Below is YBeCr2 after structural relaxation, with properties calculated at the PBE level.

Lattice parameters (Å, degrees): 5.111 5.111 2.593 90.00 90.00 117.95
Atoms (fractional coordinates):
1 Y 0.500 0.000 0.500
2 Cr 0.000 0.000 0.000
3 Cr 0.500 0.500 0.000
4 Be 0.000 0.500 0.500

Values from the calculation:
* E_form: 0.925 eV/atom
* SG: Cmmm
* final energy: -6.434 eV/atom

Below is BeZnCr after structural relaxation, with properties calculated at the PBE level.

Lattice parameters (Å, degrees): 4.021 4.021 4.021 60.00 60.00 60.00
Last column: magnetic moment on the atom in μB.
Atoms (fractional coordinates):
1 Cr 0.750 0.750 0.750  2.92
2 Zn 0.000 0.000 0.000  0.01
3 Be 0.500 0.500 0.500  -0.03

Values from the calculation:
* E_form: 0.852 eV/atom
* SG: F-43m
* final energy: -4.022 eV/atom

Below is BeZnCr2 after structural relaxation, with properties calculated at the PBE level.

Lattice parameters (Å, degrees): 2.914 2.914 5.531 90.00 90.00 90.00
Last column: magnetic moment on the atom in μB.
Atoms (fractional coordinates):
1 Cr 0.000 0.000 0.013  -0.84
2 Cr 0.500 0.500 0.206  0.97
3 Zn 0.000 0.000 0.521  0.00
4 Be 0.500 0.500 0.759  0.01

Values from the calculation:
* E_form: 0.121 eV/atom
* SG: P4mm
* final energy: -5.940 eV/atom

Below is BeZn2Cr after structural relaxation, with properties calculated at the PBE level.

Lattice parameters (Å, degrees): 2.523 2.523 7.488 90.00 90.00 91.09
Atoms (fractional coordinates):
1 Cr 0.500 0.500 0.750
2 Zn 0.000 0.000 0.019
3 Zn 0.000 0.000 0.481
4 Be 0.500 0.500 0.250

Values from the calculation:
* E_form: 0.214 eV/atom
* SG: Cmmm
* final energy: -3.761 eV/atom

Below is BeZnCr after structural relaxation, with properties calculated at the PBE level.

Lattice parameters (Å, degrees): 3.953 3.953 2.592 90.00 90.00 120.00
Last column: magnetic moment on the atom in μB.
Atoms (fractional coordinates):
1 Cr 0.333 0.667 0.334  1.75
2 Zn 0.667 0.333 0.834  -0.02
3 Be 0.000 0.000 0.832  -0.05

Values from the calculation:
* E_form: 0.186 eV/atom
* SG: P-6m2
* final energy: -4.688 eV/atom

Below is Be2ZnCr after structural relaxation, with properties calculated at the PBE level.

Lattice parameters (Å, degrees): 4.765 4.765 4.765 149.54 130.19 59.52
Atoms (fractional coordinates):
1 Cr 0.510 0.510 0.000
2 Zn 0.231 0.731 0.500
3 Be 0.990 0.990 0.000
4 Be 0.770 0.270 0.500

Values from the calculation:
* E_form: 0.171 eV/atom
* SG: Imm2
* final energy: -4.417 eV/atom

Below is BeZnCr2 after structural relaxation, with properties calculated at the PBE level.

Lattice parameters (Å, degrees): 4.607 4.607 2.412 90.00 90.00 117.53
Atoms (fractional coordinates):
1 Cr 0.000 0.000 0.000
2 Cr 0.500 0.500 0.000
3 Zn 0.500 0.000 0.500
4 Be 0.000 0.500 0.500

Values from the calculation:
* E_form: 0.177 eV/atom
* SG: Cmmm
* final energy: -5.885 eV/atom